No. 1
## PaTiSi (PBE-GGA)

Data for a geometry-optimized PaTiSi structure. Values from VASP.

The structure in Quantum ESPRESSO input format:
```
&SYSTEM
  ibrav = 0, nat = 6, ntyp = 3
/
ATOMIC_SPECIES
Pa 231.04 Pa.upf
Ti 47.87 Ti.upf
Si 28.09 Si.upf
CELL_PARAMETERS angstrom
-1.983 1.983 7.550
1.983 -1.983 7.550
1.983 1.983 -7.550
ATOMIC_POSITIONS crystal
Pa 0.178 0.178 0.000
Pa 0.822 0.822 0.000
Ti 0.000 0.500 0.500
Ti 0.500 0.000 0.500
Si 0.379 0.379 0.000
Si 0.621 0.621 0.000
```

formation energy without anion corrections = -433 meV/atom
total moment = 0.12 μB per formula unit
total energy = -8.04 eV/atom
offset from the most stable computed form = 0 meV per atom

No. 2
## Th2Tl4S5 (PBE-GGA)

Data for a geometry-optimized Th2Tl4S5 structure. Values from VASP.

The structure in Quantum ESPRESSO input format:
```
&SYSTEM
  ibrav = 0, nat = 11, ntyp = 3
/
ATOMIC_SPECIES
Th 232.04 Th.upf
Tl 204.38 Tl.upf
S 32.06 S.upf
CELL_PARAMETERS angstrom
2.061 1.190 23.696
-2.061 1.190 23.696
0.000 -2.380 23.696
ATOMIC_POSITIONS crystal
Th 0.144 0.144 0.144
Th 0.856 0.856 0.856
Tl 0.312 0.312 0.312
Tl 0.412 0.412 0.412
Tl 0.588 0.588 0.588
Tl 0.688 0.688 0.688
S 0.211 0.211 0.211
S 0.375 0.375 0.375
S 0.500 0.500 0.500
S 0.625 0.625 0.625
S 0.789 0.789 0.789
```

formation energy without anion corrections = -909 meV/atom
total moment = 0.00 μB per formula unit
total energy = -4.99 eV/atom